An optimized crystal structure of NpCuTe3, computed with PBE.

Space-group type ... No. 2
Uncorrected energy ... -5.65 eV per atom

abc: 4.0290 6.1137 12.1725
angles: 81.16 89.83 71.02
Last column: nearest neighbours and their distance in Å.
Fractional coordinates of all 10 atoms:
Np (0.7833, 0.0001, 0.1558)  8 Te 3.17-3.37, 1 Cu 3.33
Np (0.9050, 0.7606, 0.9033)  8 Te 3.17-3.38, 1 Cu 3.33
Te (0.7183, 0.1190, 0.6720)  2 Cu 2.61-2.64
Te (0.9699, 0.6418, 0.3870)  2 Cu 2.61-2.64
Te (0.2010, 0.1693, 0.9576)  1 Cu 2.70
Te (0.4622, 0.6537, 0.7160)  2 Cu 2.64-2.67
Te (0.4873, 0.5913, 0.1015)  1 Cu 2.70
Te (0.2260, 0.1070, 0.3430)  2 Cu 2.64-2.67
Cu (0.1062, 0.3518, 0.7391)  5 Te 2.61-2.70
Cu (0.5820, 0.4090, 0.3201)  5 Te 2.61-2.70

=====

An optimized crystal structure of LiCeAgPb, computed with PBE.

Space-group type ... No. 216
Energy of formation ... -0.26 eV per atom

abc: 5.1745 5.1745 5.1745
angles: 60.00 60.00 60.00
Last column: nearest neighbours and their distance in Å.
Fractional coordinates of all 4 atoms:
Ce (0.7500, 0.7500, 0.7500)  4 Pb 3.17, 4 Ag 3.17
Li (0.2500, 0.2500, 0.2500)  4 Pb 3.17, 4 Ag 3.17
Ag (0.0000, 0.0000, 0.0000)  4 Ce 3.17, 4 Li 3.17
Pb (0.5000, 0.5000, 0.5000)  4 Ce 3.17, 4 Li 3.17

=====

An optimized crystal structure of Y2AlHgMo, computed with PBE.

Space-group type ... No. 123
Energy of formation ... 0.93 eV per atom

abc: 5.6254 4.7616 5.6254
angles: 90.00 90.00 90.00
Last column: nearest neighbours and their distance in Å.
Fractional coordinates of all 5 atoms:
Y (0.5000, 0.0000, 0.0000)  2 Hg 2.81
Y (0.0000, 0.0000, 0.5000)  2 Hg 2.81
Mo (0.5000, 0.5000, 0.5000)  8 Y 3.69, 4 Al 3.98
Hg (0.0000, 0.0000, 0.0000)  2 Al 2.38
Al (0.0000, 0.5000, 0.0000)  2 Hg 2.38

=====

An optimized crystal structure of VSbSBr2, computed with PBE.

Space-group type ... No. 123
Uncorrected energy ... -3.19 eV per atom

abc: 5.0011 5.4036 5.0011
angles: 90.00 90.00 90.00
Last column: nearest neighbours and their distance in Å.
Fractional coordinates of all 5 atoms:
Sb (0.0000, 0.5000, 0.0000)  2 S 2.70
S (0.0000, 0.0000, 0.0000)  4 Br 2.50, 2 Sb 2.70
V (0.5000, 0.5000, 0.5000)  4 Sb 3.54, 8 Br 3.68
Br (0.5000, 0.0000, 0.0000)  2 S 2.50
Br (0.0000, 0.0000, 0.5000)  2 S 2.50

=====

An optimized crystal structure of MnSiAg, computed with PBE.

Space-group type ... No. 44
Uncorrected energy ... -5.62 eV per atom

abc: 5.2210 5.2210 5.2210
angles: 149.63 141.43 49.86
Last column: nearest neighbours and their distance in Å.
Fractional coordinates of all 3 atoms:
Mn (0.3056, 0.3056, 0.0000)  4 Si 2.44
Si (0.6940, 0.6940, 0.0000)  4 Mn 2.44
Ag (0.0004, 0.0004, 0.0000)  2 Ag 2.74, 5 Si 2.86-2.90, 5 Mn 2.87-2.89

=====

An optimized crystal structure of La3NdBi4, computed with PBE.

Space-group type ... No. 221
Energy of formation ... -1.03 eV per atom

abc: 6.6188 6.6188 6.6188
angles: 90.00 90.00 90.00
Last column: nearest neighbours and their distance in Å.
Fractional coordinates of all 8 atoms:
Bi (0.5000, 0.0000, 0.0000)  4 La 3.31, 2 Nd 3.31
Bi (0.0000, 0.0000, 0.5000)  4 La 3.31, 2 Nd 3.31
Bi (0.0000, 0.5000, 0.0000)  4 La 3.31, 2 Nd 3.31
Bi (0.5000, 0.5000, 0.5000)  6 La 3.31
Nd (0.0000, 0.0000, 0.0000)  6 Bi 3.31
La (0.0000, 0.5000, 0.5000)  6 Bi 3.31
La (0.5000, 0.5000, 0.0000)  6 Bi 3.31
La (0.5000, 0.0000, 0.5000)  6 Bi 3.31

=====

no.,total magnetic moment (μB per atom)
1,0.79
2,0.19
3,0.66
4,0.00
5,0.89
6,0.00